Record 1
Crystalline K2H6Pd at its relaxed geometry. Source: Alexandria, functional PBE-GGA.

CIF file:
```
data_K2H6Pd
_cell_length_a 5.1636
_cell_length_b 5.1636
_cell_length_c 10.4743
_cell_angle_alpha 90.00
_cell_angle_beta 90.00
_cell_angle_gamma 90.00
_space_group_name_H-M_alt 'P 42/m n m'
_space_group_IT_number 136
_space_group_name_Hall '-P 4n 2n'
loop_
_atom_site_label
_atom_site_type_symbol
_atom_site_fract_x
_atom_site_fract_y
_atom_site_fract_z
K1 K 0.0000 0.0000 0.1612
H1 H 0.1576 0.1576 0.3890
H2 H 0.2237 0.7763 0.5000
Pd1 Pd 0.0000 0.0000 0.5000
```

Magnetic moment, μB/cell: 0.0
DFT total energy, eV per atom: -3.207

Record 2
Crystalline CePm6Pr at its relaxed geometry. Source: Alexandria, functional PBE-GGA.

CIF file:
```
data_CePm6Pr
_cell_length_a 7.3032
_cell_length_b 10.3163
_cell_length_c 14.5699
_cell_angle_alpha 90.00
_cell_angle_beta 90.00
_cell_angle_gamma 90.00
_space_group_name_H-M_alt 'F m m m'
_space_group_IT_number 69
_space_group_name_Hall '-F 2 2'
loop_
_atom_site_label
_atom_site_type_symbol
_atom_site_fract_x
_atom_site_fract_y
_atom_site_fract_z
Ce1 Ce 0.0000 0.0000 0.0000
Pm1 Pm 0.0000 0.0000 0.2472
Pm2 Pm 0.2500 0.2500 0.1237
Pr1 Pr 0.0000 0.0000 0.5000
```

Magnetic moment, μB/cell: 4.7
Calculated formation energy, eV/atom: 0.05
Polymorph energy (0 for the lowest one), eV/f.u.: 0.04

Record 3
Crystalline CaSn2Ge at its relaxed geometry. Source: Alexandria, functional PBE-GGA.

CIF file:
```
data_CaSn2Ge
_cell_length_a 4.6108
_cell_length_b 4.6108
_cell_length_c 4.6807
_cell_angle_alpha 90.00
_cell_angle_beta 90.00
_cell_angle_gamma 90.00
_space_group_name_H-M_alt 'P 4/m m m'
_space_group_IT_number 123
_space_group_name_Hall '-P 4 2'
loop_
_atom_site_label
_atom_site_type_symbol
_atom_site_fract_x
_atom_site_fract_y
_atom_site_fract_z
Ca1 Ca 0.0000 0.0000 0.0000
Sn1 Sn 0.0000 0.5000 0.5000
Ge1 Ge 0.5000 0.5000 0.0000
```

Magnetic moment, μB/cell: 0.0
Calculated formation energy, eV/atom: -0.31